No. 1
Below is a geometry-optimized Pd14PtPb structure, with properties calculated at the GGA-PBE level.

a b c (Å): 9.2444 5.6187 5.6187
angles (deg): 60.67 90.00 90.00
Last column: nearest neighbours and their distance in Å.
Fractional coordinates of all 16 atoms:
Pd (0.0000, 0.0000, 0.0000)  12 Pd 2.80-2.84
Pd (0.0000, 0.0001, 0.4986)  12 Pd 2.79-2.85
Pd (0.0000, 0.4986, 0.0001)  12 Pd 2.79-2.85
Pd (0.0000, 0.4993, 0.4993)  12 Pd 2.79-2.84
Pd (0.2453, 0.6679, 0.6679)  11 Pd 2.79-2.86, 1 Pb 2.87
Pd (0.2466, 0.1714, 0.6669)  10 Pd 2.79-2.86, 1 Pt 2.85, 1 Pb 2.86
Pd (0.2466, 0.6669, 0.1714)  10 Pd 2.79-2.86, 1 Pt 2.85, 1 Pb 2.86
Pd (0.2493, 0.1690, 0.1690)  11 Pd 2.80-2.84, 1 Pt 2.83
Pd (0.5000, 0.3373, 0.8364)  2 Pt 2.81, 2 Pb 2.81, 8 Pd 2.83-2.86
Pd (0.5000, 0.8364, 0.3373)  2 Pt 2.81, 2 Pb 2.81, 8 Pd 2.83-2.86
Pd (0.7507, 0.1690, 0.1690)  11 Pd 2.80-2.84, 1 Pt 2.83
Pd (0.7534, 0.1714, 0.6669)  10 Pd 2.79-2.86, 1 Pt 2.85, 1 Pb 2.86
Pd (0.7534, 0.6669, 0.1714)  10 Pd 2.79-2.86, 1 Pt 2.85, 1 Pb 2.86
Pd (0.7547, 0.6679, 0.6679)  11 Pd 2.79-2.86, 1 Pb 2.87
Pt (0.5000, 0.3362, 0.3362)  10 Pd 2.81-2.85, 2 Pb 2.84
Pb (0.5000, 0.8366, 0.8366)  10 Pd 2.81-2.87, 2 Pt 2.84

Summary:
ΔH_f (0 K): -0.04 eV/atom
Final energy: -5.196 eV per atom
Magnetic moment: 0.0 μB per formula unit


No. 2
Below is a geometry-optimized SrAcSn6 structure, with properties calculated at the GGA-PBE level.

a b c (Å): 4.8781 4.8781 9.8604
angles (deg): 90.00 90.00 90.00
Last column: nearest neighbours and their distance in Å.
Fractional coordinates of all 8 atoms:
Sr (0.0000, 0.0000, 0.0000)  12 Sn 3.44-3.45
Ac (0.0000, 0.0000, 0.5000)  12 Sn 3.45-3.50
Sn (0.0000, 0.5000, 0.2458)  8 Sn 3.44-3.50, 2 Sr 3.44, 2 Ac 3.50
Sn (0.0000, 0.5000, 0.7542)  8 Sn 3.44-3.50, 2 Sr 3.44, 2 Ac 3.50
Sn (0.5000, 0.0000, 0.2458)  8 Sn 3.44-3.50, 2 Sr 3.44, 2 Ac 3.50
Sn (0.5000, 0.0000, 0.7542)  8 Sn 3.44-3.50, 2 Sr 3.44, 2 Ac 3.50
Sn (0.5000, 0.5000, 0.0000)  8 Sn 3.44, 4 Sr 3.45
Sn (0.5000, 0.5000, 0.5000)  4 Ac 3.45, 8 Sn 3.50

Summary:
ΔH_f (0 K): -0.45 eV/atom
Final energy: -4.175 eV per atom
Magnetic moment: 0.0 μB per formula unit


No. 3
Below is a geometry-optimized LaIrBr2 structure, with properties calculated at the GGA-PBE level.

a b c (Å): 4.5451 4.0675 5.1262
angles (deg): 90.00 102.35 90.00
Last column: nearest neighbours and their distance in Å.
Fractional coordinates of all 4 atoms:
La (0.0000, 0.0000, 0.0000)  6 Br 3.04-3.05, 4 Ir 3.27
Ir (0.0000, 0.5000, 0.5000)  6 Br 3.04-3.05, 4 La 3.27
Br (0.5000, 0.0000, 0.5000)  2 La 3.04, 4 Ir 3.05, 4 Br 3.27
Br (0.5000, 0.5000, 0.0000)  2 Ir 3.04, 4 La 3.05, 4 Br 3.27

Summary:
ΔE_f (raw): -0.4127 eV per atom
Final energy: -4.696 eV per atom
Polymorph energy (0 for the lowest one): 0.447 eV per atom
Magnetic moment: 0.0 μB per formula unit


No. 4
Below is a geometry-optimized Nd6In2Pd structure, with properties calculated at the GGA-PBE level.

a b c (Å): 10.2884 10.2884 5.1368
angles (deg): 90.00 90.00 90.00
Last column: nearest neighbours and their distance in Å.
Fractional coordinates of all 18 atoms:
Nd (0.0214, 0.3150, 0.0000)  1 Pd 3.25, 3 In 3.26-3.38, 2 Nd 3.58
Nd (0.1162, 0.8838, 0.5000)  2 Pd 3.08, 1 Nd 3.38, 2 In 3.43
Nd (0.1850, 0.5214, 0.5000)  1 Pd 3.25, 3 In 3.26-3.38, 2 Nd 3.58
Nd (0.3150, 0.0214, 0.0000)  1 Pd 3.25, 3 In 3.26-3.38, 2 Nd 3.58
Nd (0.3838, 0.3838, 0.0000)  2 Pd 3.08, 1 Nd 3.38, 2 In 3.43
Nd (0.4786, 0.8150, 0.5000)  1 Pd 3.25, 3 In 3.26-3.38, 2 Nd 3.58
Nd (0.5214, 0.1850, 0.5000)  1 Pd 3.25, 3 In 3.26-3.38, 2 Nd 3.58
Nd (0.6162, 0.6162, 0.0000)  2 Pd 3.08, 1 Nd 3.38, 2 In 3.43
Nd (0.6850, 0.9786, 0.0000)  1 Pd 3.25, 3 In 3.26-3.38, 2 Nd 3.58
Nd (0.8150, 0.4786, 0.5000)  1 Pd 3.25, 3 In 3.26-3.38, 2 Nd 3.58
Nd (0.8838, 0.1162, 0.5000)  2 Pd 3.08, 1 Nd 3.38, 2 In 3.43
Nd (0.9786, 0.6850, 0.0000)  1 Pd 3.25, 3 In 3.26-3.38, 2 Nd 3.58
In (0.2048, 0.2048, 0.5000)  8 Nd 3.26-3.43
In (0.2952, 0.7048, 0.0000)  8 Nd 3.26-3.43
In (0.7048, 0.2952, 0.0000)  8 Nd 3.26-3.43
In (0.7952, 0.7952, 0.5000)  8 Nd 3.26-3.43
Pd (0.0000, 0.0000, 0.0000)  8 Nd 3.08-3.25
Pd (0.5000, 0.5000, 0.5000)  8 Nd 3.08-3.25

Summary:
ΔH_f (0 K): -0.35 eV/atom
Final energy: -4.713 eV per atom
Polymorph energy (0 for the lowest one): 0.046 eV per atom
Magnetic moment: 0.0 μB per formula unit


No. 5
Below is a geometry-optimized RbMgIn2Pd structure, with properties calculated at the GGA-PBE level.

a b c (Å): 5.3027 5.3027 5.2518
angles (deg): 90.00 90.00 90.00
Last column: nearest neighbours and their distance in Å.
Fractional coordinates of all 5 atoms:
Rb (0.0000, 0.0000, 0.0000)  8 In 3.73, 4 Mg 3.75
Mg (0.5000, 0.5000, 0.0000)  2 Pd 2.63
In (0.0000, 0.5000, 0.5000)  2 Pd 2.65
In (0.5000, 0.0000, 0.5000)  2 Pd 2.65
Pd (0.5000, 0.5000, 0.5000)  2 Mg 2.63, 4 In 2.65

Summary:
ΔH_f (0 K): -0.20 eV/atom
Final energy: -2.843 eV per atom
Magnetic moment: 0.0 μB per formula unit


No. 6
Below is a geometry-optimized Cu2Si2Rh structure, with properties calculated at the GGA-PBE level.

a b c (Å): 6.2168 6.2168 3.4895
angles (deg): 90.00 90.00 90.00
Last column: nearest neighbours and their distance in Å.
Fractional coordinates of all 10 atoms:
Cu (0.1551, 0.3449, 0.0000)  6 Si 2.51-2.53, 1 Cu 2.73
Cu (0.3449, 0.8449, 0.0000)  6 Si 2.51-2.53, 1 Cu 2.73
Cu (0.6551, 0.1551, 0.0000)  6 Si 2.51-2.53, 1 Cu 2.73
Cu (0.8449, 0.6551, 0.0000)  6 Si 2.51-2.53, 1 Cu 2.73
Si (0.1391, 0.6391, 0.5000)  2 Rh 2.40, 1 Si 2.45, 6 Cu 2.51-2.53
Si (0.3609, 0.1391, 0.5000)  2 Rh 2.40, 1 Si 2.45, 6 Cu 2.51-2.53
Si (0.6391, 0.8609, 0.5000)  2 Rh 2.40, 1 Si 2.45, 6 Cu 2.51-2.53
Si (0.8609, 0.3609, 0.5000)  2 Rh 2.40, 1 Si 2.45, 6 Cu 2.51-2.53
Rh (0.0000, 0.0000, 0.5000)  4 Si 2.40
Rh (0.5000, 0.5000, 0.5000)  4 Si 2.40

Summary:
ΔE_f (raw): -0.1819 eV per atom
Final energy: -5.460 eV per atom
Polymorph energy (0 for the lowest one): 0.000 eV per atom
Magnetic moment: 0.0 μB per formula unit


No. 7
Below is a geometry-optimized Na5Zn2Bi4 structure, with properties calculated at the GGA-PBE level.

a b c (Å): 10.7868 10.7868 9.8545
angles (deg): 117.14 117.14 19.48
Last column: nearest neighbours and their distance in Å.
Fractional coordinates of all 11 atoms:
Na (0.0000, 0.0000, 0.0000)  4 Bi 3.50, 2 Na 3.65
Na (0.3321, 0.3321, 0.0869)  4 Bi 3.18-3.23, 2 Zn 3.44
Na (0.3320, 0.3320, 0.5770)  4 Bi 3.18-3.23, 2 Zn 3.44
Na (0.6680, 0.6680, 0.4230)  4 Bi 3.18-3.23, 2 Zn 3.44
Na (0.6679, 0.6679, 0.9131)  4 Bi 3.18-3.23, 2 Zn 3.44
Zn (0.0810, 0.0810, 0.5814)  5 Bi 2.78-3.07, 1 Zn 3.05
Zn (0.9190, 0.9190, 0.4186)  5 Bi 2.78-3.07, 1 Zn 3.05
Bi (0.2284, 0.2284, 0.7284)  1 Zn 2.78
Bi (0.5000, 0.5000, 0.3032)  4 Zn 3.07, 2 Na 3.20
Bi (0.5000, 0.5000, 0.6968)  4 Zn 3.07, 2 Na 3.20
Bi (0.7716, 0.7716, 0.2716)  1 Zn 2.78

Summary:
ΔH_f (0 K): -0.18 eV/atom
Final energy: -2.420 eV per atom
Magnetic moment: 0.0 μB per formula unit


No. 8
Below is a geometry-optimized NiAsSe2 structure, with properties calculated at the GGA-PBE level.

a b c (Å): 8.2676 8.2676 8.2676
angles (deg): 155.21 155.21 35.34
Last column: nearest neighbours and their distance in Å.
Fractional coordinates of all 4 atoms:
Ni (0.0000, 0.0000, 0.0000)  4 Se 2.51
As (0.7500, 0.2500, 0.5000)  4 Se 2.51
Se (0.2500, 0.7500, 0.5000)  4 As 2.51
Se (0.5000, 0.5000, 0.0000)  4 Ni 2.51

Summary:
ΔE_f (raw): 0.3769 eV per atom
Final energy: -3.973 eV per atom
Magnetic moment: 0.8 μB per formula unit


No. 9
Below is a geometry-optimized CrOsPd structure, with properties calculated at the GGA-PBE level.

a b c (Å): 2.7068 2.7068 6.5703
angles (deg): 90.00 90.00 120.00
Last column: nearest neighbours and their distance in Å.
Fractional coordinates of all 3 atoms:
Cr (0.0000, 0.0000, 0.0000)  3 Os 2.53, 3 Pd 2.67, 6 Cr 2.71
Os (0.6667, 0.3333, 0.3033)  3 Cr 2.53, 6 Os 2.71
Pd (0.3333, 0.6667, 0.6699)  3 Cr 2.67, 6 Pd 2.71, 3 Os 2.87

Summary:
ΔH_f (0 K): 0.12 eV/atom
Final energy: -8.559 eV per atom
Polymorph energy (0 for the lowest one): 0.017 eV per atom
Magnetic moment: 0.0 μB per formula unit


No. 10
Below is a geometry-optimized Ca2Si3PbO9 structure, with properties calculated at the GGA-PBE level.

a b c (Å): 6.7870 6.8385 9.6653
angles (deg): 87.85 69.52 76.71
Last column: nearest neighbours and their distance in Å.
Fractional coordinates of all 30 atoms:
Ca (0.2286, 0.2728, 0.0065)  5 O 2.35-2.53
Ca (0.2617, 0.5570, 0.6689)  6 O 2.33-2.51
Ca (0.7383, 0.4430, 0.3311)  6 O 2.33-2.51
Ca (0.7714, 0.7272, 0.9935)  5 O 2.35-2.53
Si (0.1200, 0.0966, 0.7201)  4 O 1.62-1.68
Si (0.2164, 0.5604, 0.2988)  4 O 1.62-1.68
Si (0.2656, 0.7644, 0.0166)  4 O 1.62-1.69
Si (0.7344, 0.2356, 0.9834)  4 O 1.62-1.69
Si (0.7836, 0.4396, 0.7012)  4 O 1.62-1.68
Si (0.8800, 0.9034, 0.2799)  4 O 1.62-1.68
Pb (0.3808, 0.0947, 0.3413)  2 O 2.33-2.47
Pb (0.6192, 0.9053, 0.6587)  2 O 2.33-2.47
O (0.0216, 0.7656, 0.3761)  2 Si 1.68
O (0.0705, 0.9528, 0.1259)  2 Si 1.68-1.69
O (0.1122, 0.3866, 0.2603)  1 Si 1.63
O (0.1651, 0.6255, 0.9403)  1 Si 1.62
O (0.2666, 0.2297, 0.7579)  1 Si 1.63
O (0.2760, 0.8919, 0.6283)  1 Si 1.62
O (0.3586, 0.4754, 0.4021)  1 Si 1.62
O (0.3694, 0.6378, 0.1382)  2 Si 1.68-1.69
O (0.4531, 0.8679, 0.9109)  1 Si 1.62
O (0.5469, 0.1321, 0.0891)  1 Si 1.62
O (0.6306, 0.3622, 0.8618)  2 Si 1.68-1.69
O (0.6414, 0.5246, 0.5979)  1 Si 1.62
O (0.7240, 0.1081, 0.3717)  1 Si 1.62
O (0.7334, 0.7703, 0.2421)  1 Si 1.63
O (0.8349, 0.3745, 0.0597)  1 Si 1.62
O (0.8878, 0.6134, 0.7397)  1 Si 1.63
O (0.9295, 0.0472, 0.8741)  2 Si 1.68-1.69
O (0.9784, 0.2344, 0.6239)  2 Si 1.68

Summary:
ΔE_f (raw): -2.7442 eV per atom
Final energy: -7.318 eV per atom
Magnetic moment: 0.0 μB per formula unit